RbMgSn: optimized geometry, PBE.

Cell lengths 5.1969, 5.1996, 8.2986 Å; angles 94.00, 93.69, 99.70 degrees
Last column: nearest neighbours and their distance in Å.
Element x y z (fractional)
Rb1 0.2392 0.7370 0.3612  3 Sn 3.60-4.00, 2 Mg 3.61-3.62, 1 Rb 3.99
Rb2 0.7608 0.2630 0.6388  3 Sn 3.60-4.00, 2 Mg 3.61-3.62, 1 Rb 3.99
Mg1 0.8007 0.7002 0.0003  4 Sn 2.92-3.03, 1 Mg 3.17
Mg2 0.1993 0.2998 0.9997  4 Sn 2.92-3.03, 1 Mg 3.17
Sn1 0.6832 0.1847 0.1541  4 Mg 2.92-3.03
Sn2 0.3168 0.8153 0.8459  4 Mg 2.92-3.03

Values from the calculation:
- energy relative to the lowest polymorph listed for this composition (meV/atom) = 0
- total magnetic moment (μB per formula unit) = 0.0
- formation energy from the elements (eV/atom) = -0.187
- volume (Å³ per atom) = 36.64